Na2TlIn at its PBEsol-relaxed geometry. Source: Alexandria, functional SCAN.

Cell: 7.445 7.445 7.445 Å, 90.00 90.00 90.00°
Fractional coordinates of all 16 atoms:
Na 0.250 0.250 0.250
Na 0.250 0.250 0.750
Na 0.250 0.750 0.250
Na 0.250 0.750 0.750
Na 0.750 0.250 0.250
Na 0.750 0.250 0.750
Na 0.750 0.750 0.250
Na 0.750 0.750 0.750
Tl 0.000 0.000 0.000
Tl 0.000 0.500 0.500
Tl 0.500 0.000 0.500
Tl 0.500 0.500 0.000
In 0.000 0.000 0.500
In 0.000 0.500 0.000
In 0.500 0.000 0.000
In 0.500 0.500 0.500

Properties
SG	No. 225
crystal system	cubic
ΔE_f	-0.1600	eV per atom

---

Mn2TcSe at its PBEsol-relaxed geometry. Source: Alexandria, functional SCAN.

Cell: 3.182 3.182 5.298 Å, 90.00 90.00 90.00°
Fractional coordinates of all 4 atoms:
Mn 0.000 0.000 0.248
Mn 0.000 0.000 0.752
Tc 0.500 0.500 0.000
Se 0.500 0.500 0.500

Properties
SG	No. 123
crystal system	tetragonal
E_form (uncorrected)	-0.03	eV/atom

---

Ca3MnBe at its PBEsol-relaxed geometry. Source: Alexandria, functional SCAN.

Cell: 5.306 5.306 5.306 Å, 90.00 90.00 90.00°
Fractional coordinates of all 5 atoms:
Ca 0.000 0.000 0.500
Ca 0.000 0.500 0.000
Ca 0.500 0.000 0.000
Mn 0.000 0.000 0.000
Be 0.500 0.500 0.500

Properties
SG	No. 221
crystal system	cubic
ΔE_f	0.8107	eV per atom

---

MgIn2Ag at its PBEsol-relaxed geometry. Source: Alexandria, functional SCAN.

Cell: 3.084 4.336 6.289 Å, 90.00 90.00 90.00°
Fractional coordinates of all 4 atoms:
Mg 0.000 0.000 0.000
In 0.500 0.500 0.258
In 0.500 0.500 0.742
Ag 0.000 0.000 0.500

Properties
SG	No. 47
crystal system	orthorhombic
ΔE_f	-0.0576	eV per atom

---

Calculated total energy (computed, eV/atom): -28.70 -22.94 -9.51 -25.84
Magnetization (computed, μB/f.u.): 0.001 6.741 2.336 0.000
DOS(E_F) (computed, states/eV/atom): 0.48 0.62 0.45 0.38